Record 1
VASP calculation (GGA-PBE) on YSbW2 after structural relaxation.

a b c (Å): 3.6039 3.6039 6.3538
angles (deg): 90.00 90.00 90.00
With the nearest neighbours (Å) after each atom.
Sites, in units of the cell vectors:
Sb: 0.5000 0.5000 0.7500  8 W 2.86, 2 Y 3.18
W: 0.0000 0.0000 0.9542  1 W 2.59, 4 Sb 2.86
W: 0.0000 0.0000 0.5458  1 W 2.59, 4 Sb 2.86
Y: 0.5000 0.5000 0.2500  8 W 3.17, 2 Sb 3.18

Summary:
ΔE_f (raw) in eV/atom: 0.5011


Record 2
VASP calculation (GGA-PBE) on RbCaAuSe2 after structural relaxation.

a b c (Å): 5.6474 7.5940 8.7098
angles (deg): 115.85 90.00 90.00
With the nearest neighbours (Å) after each atom.
Sites, in units of the cell vectors:
Rb: 0.2144 0.7500 0.5000  4 Se 3.49-3.51
Rb: 0.7856 0.2500 0.5000  4 Se 3.49-3.51
Ca: 0.5000 0.7500 0.0000  4 Se 2.91
Ca: 0.5000 0.2500 0.0000  4 Se 2.91
Au: 0.0000 0.0000 0.0000  2 Se 2.46
Au: 0.0000 0.5000 0.0000  2 Se 2.46
Se: 0.7128 0.8820 0.7639  1 Au 2.46
Se: 0.7128 0.6180 0.2361  1 Au 2.46
Se: 0.2872 0.3820 0.7639  1 Au 2.46
Se: 0.2872 0.1180 0.2361  1 Au 2.46

Summary:
ΔE_f (raw) in eV/atom: -1.1814


Record 3
VASP calculation (GGA-PBE) on YMgPb2 after structural relaxation.

a b c (Å): 4.2048 4.2048 6.3713
angles (deg): 90.00 90.00 90.00
With the nearest neighbours (Å) after each atom.
Sites, in units of the cell vectors:
Mg: 0.5000 0.5000 0.7678  6 Pb 3.18-3.27, 4 Y 3.48
Pb: 0.0000 0.0000 0.9819  2 Y 3.18-3.19, 4 Mg 3.27, 4 Pb 3.49
Pb: 0.5000 0.5000 0.2673  2 Mg 3.18-3.19, 4 Y 3.28, 4 Pb 3.49
Y: 0.0000 0.0000 0.4830  6 Pb 3.18-3.28, 4 Mg 3.48

Summary:
Energy of formation in eV/atom: -0.171


| no. | density (g cm⁻³) |
| --- | --- |
| 1 | 11.6 |
| 2 | 4.7 |
| 3 | 7.8 |